DFT (PBE+U) results for a relaxed structure of Tl2Co3CuF12.

extended XYZ file:
```
18
Lattice="7.256 -0.027 -0.019 3.560 6.323 -0.019 3.560 2.072 5.973" Properties=species:S:1:pos:R:3 pbc="T T T"
F 7.581 1.846 4.029
F 6.796 3.956 5.525
F 3.185 4.405 0.421
F 5.404 0.594 0.421
F 7.581 4.413 0.410
F 11.192 6.514 1.917
F 3.185 1.854 4.019
F 5.349 5.680 4.029
F 8.973 7.775 5.514
F 9.028 2.688 1.907
F 11.192 3.963 5.514
F 6.796 6.522 1.907
Tl 5.418 3.154 2.237
Tl 8.958 5.214 3.699
Cu 0.000 0.000 0.000
Co 3.628 -0.013 -0.009
Co 1.780 3.161 -0.009
Co 1.780 1.036 2.987
```

Properties
The calculation puts the uncorrected energy at -4.494 eV per atom. As for the space group: R-3m (166).